Li2Ti6O13 | meta-GGA SCAN | single point on PBEsol structure

extended XYZ file:
```
21
Lattice="-0.9866 0.2971 3.6032 7.6174 -2.0801 0.3084 0.9934 9.0675 -0.4756" Properties=species:S:1:pos:R:3 pbc="T T T"
Ti 1.7361 0.4182 0.4409
Ti 5.8881 6.8662 2.9951
Ti 4.8048 3.9791 2.9365
Ti 4.0449 6.0983 0.6048
Ti 3.5793 1.1862 2.8312
Ti 2.8193 3.3054 0.4995
O 0.0000 0.0000 0.0000
O 4.4509 -0.3214 3.1941
O 3.1733 7.6059 0.2418
O 5.1753 2.2150 3.1834
O 1.7042 0.6073 2.3655
O 4.7850 4.0438 0.9768
O 2.8391 3.2407 2.4591
O 1.3308 2.3342 0.1719
O 6.2933 4.9503 3.2640
O 3.9803 5.9931 2.5447
O 2.4489 5.0695 0.2526
O 3.6439 1.2914 0.8913
O 5.9199 6.6772 1.0705
Li 1.4569 6.6638 -0.1505
Li 6.1672 0.6207 3.5864
```

Computed properties:
D(E_F) in states/eV per cell: 0.00
Symmetry: C2/m (12)
Volume in Å³ per cell: 259
Formation energy from raw total energies in eV/atom: -3.171